Run i
Here is Dy2CdHg4 after structural relaxation from Alexandria. Energies are from PBE-GGA.

a b c (Å): 5.371 5.371 15.251
angles (deg): 90.00 90.00 90.00
Fractional positions:
Dy  0.000  0.000  0.111
Dy  0.000  0.000  0.889
Dy  0.500  0.500  0.389
Dy  0.500  0.500  0.611
Cd  0.000  0.000  0.500
Cd  0.500  0.500  0.000
Hg  0.000  0.000  0.307
Hg  0.000  0.000  0.693
Hg  0.000  0.500  0.000
Hg  0.000  0.500  0.500
Hg  0.500  0.000  0.000
Hg  0.500  0.000  0.500
Hg  0.500  0.500  0.193
Hg  0.500  0.500  0.807

Properties
Total moment, μB per cell: 0.00

---

Run ii
Here is Dy2CdHg4 after structural relaxation from Alexandria. Energies are from PBE-GGA.

a b c (Å): 8.815 8.815 8.815
angles (deg): 33.01 33.01 33.01
Fractional positions:
Dy  0.247  0.247  0.247
Dy  0.753  0.753  0.753
Cd  0.500  0.500  0.500
Hg  0.120  0.120  0.120
Hg  0.370  0.370  0.370
Hg  0.630  0.630  0.630
Hg  0.880  0.880  0.880

Properties
Total moment, μB per cell: 0.00

---

Least stable: run i

---

Run i
Here is Dy8CdHg2 after structural relaxation from Alexandria. Energies are from PBE-GGA.

a b c (Å): 8.850 8.850 8.850
angles (deg): 146.69 123.08 67.57
Fractional positions:
Dy  0.119  0.338  0.781
Dy  0.135  0.135  0.000
Dy  0.315  0.000  0.315
Dy  0.442  0.662  0.781
Dy  0.558  0.338  0.219
Dy  0.685  0.000  0.685
Dy  0.865  0.865  0.000
Dy  0.881  0.662  0.219
Cd  0.000  0.500  0.500
Hg  0.301  0.801  0.500
Hg  0.699  0.199  0.500

Properties
Total moment, μB per cell: 0.00

---

Run ii
Here is Dy8CdHg2 after structural relaxation from Alexandria. Energies are from PBE-GGA.

a b c (Å): 9.387 9.387 7.106
angles (deg): 105.77 105.77 32.10
Fractional positions:
Dy  0.026  0.026  0.263
Dy  0.194  0.194  0.805
Dy  0.333  0.333  0.534
Dy  0.409  0.409  0.038
Dy  0.591  0.591  0.962
Dy  0.667  0.667  0.466
Dy  0.806  0.806  0.195
Dy  0.974  0.974  0.737
Cd  0.500  0.500  0.500
Hg  0.187  0.187  0.215
Hg  0.813  0.813  0.785

Properties
Total moment, μB per cell: 0.00

---

Least stable: run i